Entry 1:
Here is crystalline Dy2ErCd3 at its relaxed geometry from the Alexandria database. Energies are from PBE.

abc: 3.735 3.735 11.196
angles: 90.00 90.00 90.00
Fractional positions:
Dy1 0.000 0.000 0.167
Dy2 0.000 0.000 0.833
Er1 0.000 0.000 0.500
Cd1 0.500 0.500 0.000
Cd2 0.500 0.500 0.336
Cd3 0.500 0.500 0.664

Output
* theoretical density: 8.820 g cm⁻³
* energy: -3.070 eV/atom
* formation energy: -318 meV/atom

---

Entry 2:
Here is crystalline Dy4ErCd2 at its relaxed geometry from the Alexandria database. Energies are from PBE.

abc: 10.496 10.496 10.496
angles: 28.20 28.20 28.20
Fractional positions:
Dy1 0.108 0.108 0.108
Dy2 0.296 0.296 0.296
Dy3 0.704 0.704 0.704
Dy4 0.892 0.892 0.892
Er1 0.500 0.500 0.500
Cd1 0.400 0.400 0.400
Cd2 0.600 0.600 0.600

Output
* theoretical density: 7.585 g cm⁻³
* energy: -3.323 eV/atom
* formation energy: 220 meV/atom

---

Entry 3:
Here is crystalline Dy6Er12Cd at its relaxed geometry from the Alexandria database. Energies are from PBE.

abc: 8.379 8.379 8.379
angles: 88.77 88.77 88.77
Fractional positions:
Dy1 0.207 0.761 0.596
Dy2 0.239 0.404 0.793
Dy3 0.404 0.793 0.239
Dy4 0.596 0.207 0.761
Dy5 0.761 0.596 0.207
Dy6 0.793 0.239 0.404
Er1 0.038 0.936 0.280
Er2 0.064 0.720 0.962
Er3 0.137 0.486 0.319
Er4 0.280 0.038 0.936
Er5 0.319 0.137 0.486
Er6 0.486 0.319 0.137
Er7 0.514 0.681 0.863
Er8 0.681 0.863 0.514
Er9 0.720 0.962 0.064
Er10 0.863 0.514 0.681
Er11 0.936 0.280 0.038
Er12 0.962 0.064 0.720
Cd1 0.500 0.500 0.500

Output
* theoretical density: 8.742 g cm⁻³
* energy: -4.274 eV/atom
* formation energy: 110 meV/atom

---

Entry 4:
Here is crystalline Dy5Er2Cd at its relaxed geometry from the Alexandria database. Energies are from PBE.

abc: 3.561 7.487 18.440
angles: 89.44 90.00 76.26
Fractional positions:
Dy1 0.025 0.449 0.099
Dy2 0.087 0.324 0.279
Dy3 0.214 0.074 0.665
Dy4 0.277 0.948 0.844
Dy5 0.468 0.564 0.412
Dy6 0.532 0.436 0.588
Dy7 0.723 0.052 0.156
Dy8 0.786 0.926 0.335
Dy9 0.913 0.676 0.721
Dy10 0.975 0.551 0.901
Er1 0.159 0.181 0.464
Er2 0.344 0.811 0.023
Er3 0.656 0.189 0.977
Er4 0.841 0.819 0.536
Cd1 0.405 0.687 0.217
Cd2 0.595 0.313 0.783

Output
* theoretical density: 8.759 g cm⁻³
* energy: -4.164 eV/atom
* formation energy: -32 meV/atom

---

Entry 5:
Here is crystalline Dy7Er3Cd at its relaxed geometry from the Alexandria database. Energies are from PBE.

abc: 6.921 6.921 8.478
angles: 90.00 90.00 120.00
Fractional positions:
Dy1 0.000 0.000 0.000
Dy2 0.164 0.327 0.666
Dy3 0.164 0.836 0.666
Dy4 0.501 0.002 0.994
Dy5 0.501 0.499 0.994
Dy6 0.673 0.836 0.666
Dy7 0.998 0.499 0.994
Er1 0.330 0.165 0.329
Er2 0.835 0.165 0.329
Er3 0.835 0.670 0.329
Cd1 0.667 0.333 0.664

Output
* theoretical density: 8.271 g cm⁻³
* energy: -4.090 eV/atom
* formation energy: 166 meV/atom

---

Entry 6:
Here is crystalline DyErCd at its relaxed geometry from the Alexandria database. Energies are from PBE.

abc: 5.231 5.231 3.531
angles: 90.00 90.00 120.00
Fractional positions:
Dy1 0.000 0.000 0.000
Er1 0.667 0.333 0.444
Cd1 0.333 0.667 0.704

Output
* theoretical density: 8.774 g cm⁻³
* energy: -3.435 eV/atom
* formation energy: -75 meV/atom

---

Entry 7:
Here is crystalline DyErCd3 at its relaxed geometry from the Alexandria database. Energies are from PBE.

abc: 14.794 14.794 4.944
angles: 90.00 90.00 166.57
Fractional positions:
Dy1 0.075 0.925 0.750
Dy2 0.925 0.075 0.250
Er1 0.216 0.784 0.250
Er2 0.784 0.216 0.750
Cd1 0.324 0.676 0.250
Cd2 0.378 0.622 0.750
Cd3 0.476 0.524 0.750
Cd4 0.524 0.476 0.250
Cd5 0.622 0.378 0.250
Cd6 0.676 0.324 0.750

Output
* theoretical density: 8.814 g cm⁻³
* energy: -2.668 eV/atom
* formation energy: -286 meV/atom

---

Entry 8:
Here is crystalline Dy3Er2Cd at its relaxed geometry from the Alexandria database. Energies are from PBE.

abc: 7.765 7.765 7.765
angles: 155.29 101.27 84.04
Fractional positions:
Dy1 0.000 0.000 0.000
Dy2 0.370 0.032 0.338
Dy3 0.694 0.032 0.662
Er1 0.111 0.283 0.827
Er2 0.456 0.283 0.173
Cd1 0.767 0.267 0.500

Output
* theoretical density: 8.217 g cm⁻³
* energy: -3.631 eV/atom
* formation energy: 343 meV/atom

---

Entry 9:
Here is crystalline DyErCd at its relaxed geometry from the Alexandria database. Energies are from PBE.

abc: 7.930 7.930 7.930
angles: 38.48 38.48 38.48
Fractional positions:
Dy1 0.126 0.126 0.126
Dy2 0.874 0.874 0.874
Er1 0.292 0.292 0.292
Er2 0.708 0.708 0.708
Cd1 0.434 0.434 0.434
Cd2 0.566 0.566 0.566

Output
* theoretical density: 8.467 g cm⁻³
* energy: -3.430 eV/atom
* formation energy: -70 meV/atom

---

Entry 10:
Here is crystalline DyEr7Cd2 at its relaxed geometry from the Alexandria database. Energies are from PBE.

abc: 8.987 8.987 5.193
angles: 90.00 90.00 120.67
Fractional positions:
Dy1 0.000 0.000 0.000
Er1 0.065 0.299 0.500
Er2 0.223 0.777 0.000
Er3 0.299 0.065 0.500
Er4 0.500 0.500 0.500
Er5 0.701 0.935 0.500
Er6 0.777 0.223 0.000
Er7 0.935 0.701 0.500
Cd1 0.304 0.696 0.500
Cd2 0.696 0.304 0.500

Output
* theoretical density: 7.172 g cm⁻³
* energy: -3.415 eV/atom
* formation energy: 422 meV/atom

---

Entry 11:
Here is crystalline DyEr3Cd4 at its relaxed geometry from the Alexandria database. Energies are from PBE.

abc: 5.240 5.240 7.498
angles: 90.00 90.00 90.00
Fractional positions:
Dy1 0.000 0.000 0.000
Er1 0.000 0.000 0.500
Er2 0.500 0.500 0.000
Er3 0.500 0.500 0.500
Cd1 0.000 0.500 0.252
Cd2 0.000 0.500 0.748
Cd3 0.500 0.000 0.252
Cd4 0.500 0.000 0.748

Output
* theoretical density: 8.983 g cm⁻³
* energy: -3.061 eV/atom
* formation energy: -318 meV/atom

---

Entry 12:
Here is crystalline DyEr4Cd at its relaxed geometry from the Alexandria database. Energies are from PBE.

abc: 3.526 3.526 14.072
angles: 90.00 90.00 90.00
Fractional positions:
Dy1 0.000 0.000 0.000
Er1 0.000 0.000 0.352
Er2 0.000 0.000 0.648
Er3 0.500 0.500 0.176
Er4 0.500 0.500 0.824
Cd1 0.500 0.500 0.500

Output
* theoretical density: 8.959 g cm⁻³
* energy: -4.050 eV/atom
* formation energy: -88 meV/atom

---

Entry 13:
Here is crystalline Dy2ErCd5 at its relaxed geometry from the Alexandria database. Energies are from PBE.

abc: 8.325 8.325 8.325
angles: 144.25 144.25 51.46
Fractional positions:
Dy1 0.240 0.240 0.000
Dy2 0.760 0.760 0.000
Er1 0.500 0.500 0.000
Cd1 0.000 0.000 0.000
Cd2 0.119 0.619 0.500
Cd3 0.381 0.881 0.500
Cd4 0.619 0.119 0.500
Cd5 0.881 0.381 0.500

Output
* theoretical density: 8.937 g cm⁻³
* energy: -2.586 eV/atom
* formation energy: -294 meV/atom

---

Entry 14:
Here is crystalline DyErCd at its relaxed geometry from the Alexandria database. Energies are from PBE.

abc: 14.010 14.010 3.507
angles: 90.02 90.02 14.24
Fractional positions:
Dy1 0.000 0.000 0.000
Dy2 0.151 0.151 0.000
Er1 0.304 0.304 0.002
Er2 0.892 0.892 0.501
Cd1 0.575 0.575 0.500
Cd2 0.728 0.728 0.501

Output
* theoretical density: 8.675 g cm⁻³
* energy: -3.466 eV/atom
* formation energy: -106 meV/atom

---

Entry 15:
Here is crystalline Dy4ErCd at its relaxed geometry from the Alexandria database. Energies are from PBE.

abc: 3.546 3.546 14.129
angles: 90.00 90.00 90.00
Fractional positions:
Dy1 0.000 0.000 0.148
Dy2 0.000 0.000 0.852
Dy3 0.500 0.500 0.324
Dy4 0.500 0.500 0.676
Er1 0.000 0.000 0.500
Cd1 0.500 0.500 0.000

Output
* theoretical density: 8.690 g cm⁻³
* energy: -4.071 eV/atom
* formation energy: -90 meV/atom

---

Entry 16:
Here is crystalline Dy3ErCd4 at its relaxed geometry from the Alexandria database. Energies are from PBE.

abc: 5.264 5.264 7.529
angles: 90.00 90.00 90.00
Fractional positions:
Dy1 0.000 0.000 0.000
Dy2 0.000 0.000 0.500
Dy3 0.500 0.500 0.000
Er1 0.500 0.500 0.500
Cd1 0.000 0.500 0.252
Cd2 0.000 0.500 0.748
Cd3 0.500 0.000 0.252
Cd4 0.500 0.000 0.748

Output
* theoretical density: 8.791 g cm⁻³
* energy: -3.073 eV/atom
* formation energy: -319 meV/atom

---

Entry 17:
Here is crystalline DyErCd at its relaxed geometry from the Alexandria database. Energies are from PBE.

abc: 6.994 6.994 6.994
angles: 150.36 150.36 42.42
Fractional positions:
Dy1 0.000 0.000 0.000
Er1 0.314 0.314 0.000
Cd1 0.659 0.659 0.000

Output
* theoretical density: 8.793 g cm⁻³
* energy: -3.551 eV/atom
* formation energy: -191 meV/atom

---

Entry 18:
Here is crystalline DyErCd at its relaxed geometry from the Alexandria database. Energies are from PBE.

abc: 5.122 5.122 5.122
angles: 120.09 120.09 89.85
Fractional positions:
Dy1 0.000 0.000 0.000
Er1 0.500 0.500 0.000
Cd1 0.750 0.250 0.500

Output
* theoretical density: 7.740 g cm⁻³
* energy: -3.263 eV/atom
* formation energy: 97 meV/atom

---

Entry 19:
Here is crystalline DyEr2Cd3 at its relaxed geometry from the Alexandria database. Energies are from PBE.

abc: 5.258 5.258 6.461
angles: 90.00 90.00 120.00
Fractional positions:
Dy1 0.000 0.000 0.000
Er1 0.333 0.667 0.664
Er2 0.667 0.333 0.336
Cd1 0.000 0.000 0.500
Cd2 0.333 0.667 0.166
Cd3 0.667 0.333 0.834

Output
* theoretical density: 8.954 g cm⁻³
* energy: -3.063 eV/atom
* formation energy: -318 meV/atom

---

Entry 20:
Here is crystalline DyEr6Cd at its relaxed geometry from the Alexandria database. Energies are from PBE.

abc: 6.234 6.234 6.234
angles: 94.46 94.46 94.46
Fractional positions:
Dy1 0.000 0.000 0.000
Er1 0.050 0.540 0.258
Er2 0.258 0.050 0.540
Er3 0.460 0.742 0.950
Er4 0.540 0.258 0.050
Er5 0.742 0.950 0.460
Er6 0.950 0.460 0.742
Cd1 0.500 0.500 0.500

Output
* theoretical density: 8.849 g cm⁻³
* energy: -4.053 eV/atom
* formation energy: 58 meV/atom